1.
DFT (PBE) results for Mn4CrSb after structural relaxation.

Calculated values
crystal system	cubic
formation energy without anion corrections	252	meV/atom
calculated volume	78.1	Å³/f.u.
DOS(E_F)	8.833	states/eV/f.u.

Structure (POSCAR):
```
Mn4CrSb
1.0
0.000 3.393 3.393
3.393 0.000 3.393
3.393 3.393 0.000
Mn Cr Sb
4 1 1
Cartesian
2.550 4.236 4.236
4.236 4.236 2.550
4.236 2.550 4.236
2.550 2.550 2.550
0.000 0.000 0.000
5.089 5.089 5.089
```



2.
DFT (PBE) results for MnCrSb after structural relaxation.

Calculated values
crystal system	trigonal
formation energy without anion corrections	420	meV/atom
calculated volume	52.2	Å³/f.u.
polymorph energy (0 for the lowest one)	7.41	kcal/mol of atoms
DOS(E_F)	1.794	states/eV/f.u.

Structure (POSCAR):
```
MnCrSb
1.0
3.130 0.000 0.000
-1.565 2.711 0.000
0.000 0.000 6.155
Cr Mn Sb
1 1 1
Cartesian
0.000 0.000 0.261
1.565 0.904 1.804
0.000 1.807 4.090
```



3.
DFT (PBE) results for MnCr2Sb after structural relaxation.

Calculated values
crystal system	orthorhombic
formation energy without anion corrections	284	meV/atom
calculated volume	61.6	Å³/f.u.
DOS(E_F)	3.720	states/eV/f.u.

Structure (POSCAR):
```
MnCr2Sb
1.0
-3.299 -0.613 1.278
-0.500 -2.008 -2.254
1.515 -6.134 0.970
Cr Mn Sb
2 1 1
Cartesian
-0.455 -2.099 -2.182
-1.400 -2.332 0.312
0.471 -3.998 -0.702
-0.891 -6.406 -0.330
```



4.
DFT (PBE) results for MnCr2Sb after structural relaxation.

Calculated values
crystal system	tetragonal
formation energy without anion corrections	180	meV/atom
calculated volume	59.7	Å³/f.u.
DOS(E_F)	3.241	states/eV/f.u.

Structure (POSCAR):
```
MnCr2Sb
1.0
-4.189 -1.797 0.917
-1.654 -1.585 4.046
-2.571 2.444 1.917
Cr Mn Sb
2 1 1
Cartesian
-2.571 2.444 1.917
-4.206 -0.468 3.439
-2.103 -0.234 1.720
-6.310 -0.703 5.159
```



5.
DFT (PBE) results for MnCr2Sb after structural relaxation.

Calculated values
crystal system	tetragonal
formation energy without anion corrections	314	meV/atom
calculated volume	56.6	Å³/f.u.
DOS(E_F)	6.075	states/eV/f.u.

Structure (POSCAR):
```
MnCr2Sb
1.0
3.962 0.000 0.000
0.000 3.778 0.000
0.000 0.000 3.778
Cr Mn Sb
2 1 1
Cartesian
0.000 0.000 0.000
0.000 1.889 1.889
1.981 1.889 0.000
1.981 0.000 1.889
```



6.
DFT (PBE) results for MnCrSb after structural relaxation.

Calculated values
crystal system	tetragonal
formation energy without anion corrections	372	meV/atom
calculated volume	46.4	Å³/f.u.
polymorph energy (0 for the lowest one)	6.30	kcal/mol of atoms
DOS(E_F)	3.599	states/eV/f.u.

Structure (POSCAR):
```
MnCrSb
1.0
4.753 0.007 -0.019
2.375 4.117 0.019
-3.555 -2.077 2.374
Cr Mn Sb
1 1 1
Cartesian
7.100 4.108 0.000
2.414 1.397 0.000
4.741 2.743 0.000
```



7.
DFT (PBE) results for MnCrSb after structural relaxation.

Calculated values
crystal system	hexagonal
formation energy without anion corrections	323	meV/atom
calculated volume	48.9	Å³/f.u.
polymorph energy (0 for the lowest one)	5.17	kcal/mol of atoms
DOS(E_F)	2.600	states/eV/f.u.

Structure (POSCAR):
```
MnCrSb
1.0
2.263 -3.920 0.000
2.263 3.920 0.000
0.000 0.000 5.515
Mn Cr Sb
2 2 2
Cartesian
0.000 0.000 2.758
0.000 0.000 0.000
2.263 1.307 4.137
2.263 -1.307 1.379
2.263 1.307 1.379
2.263 -1.307 4.137
```



8.
DFT (PBE) results for MnCrSbTe2 after structural relaxation.

Calculated values
crystal system	tetragonal
formation energy without anion corrections	1089	meV/atom
calculated volume	133.0	Å³/f.u.
polymorph energy (0 for the lowest one)	10.63	kcal/mol of atoms
DOS(E_F)	8.598	states/eV/f.u.

Structure (POSCAR):
```
MnCrSbTe2
1.0
-2.588 -0.378 4.466
1.870 -4.778 0.679
3.908 1.874 2.423
Sb Te Mn Cr
1 2 1 1
Cartesian
1.954 0.937 1.211
0.935 -2.389 0.340
-1.294 -0.189 2.233
0.000 0.000 0.000
1.595 -1.641 3.784
```



9.
DFT (PBE) results for MnCrSbTe2 after structural relaxation.

Calculated values
crystal system	tetragonal
formation energy without anion corrections	628	meV/atom
calculated volume	141.4	Å³/f.u.
polymorph energy (0 for the lowest one)	0.00	kcal/mol of atoms
DOS(E_F)	4.266	states/eV/f.u.

Structure (POSCAR):
```
MnCrSbTe2
1.0
-2.867 -4.372 -0.827
4.448 -2.798 -0.629
0.079 -0.988 4.951
Sb Te Mn Cr
1 2 1 1
Cartesian
0.039 -0.494 2.476
2.224 -1.399 -0.314
-1.433 -2.186 -0.413
0.830 -4.079 1.748
0.000 0.000 0.000
```



10.
DFT (PBE) results for MnCrSbW2 after structural relaxation.

Calculated values
crystal system	tetragonal
formation energy without anion corrections	1634	meV/atom
calculated volume	92.5	Å³/f.u.
DOS(E_F)	6.936	states/eV/f.u.

Structure (POSCAR):
```
MnCrSbW2
1.0
-1.883 2.018 -3.551
-3.924 -2.195 0.834
-1.337 3.390 2.636
Sb Mn W Cr
1 1 2 1
Cartesian
-1.962 -1.098 0.417
0.000 0.000 0.000
-0.669 1.695 1.318
-0.942 1.009 -1.776
-3.572 1.606 -0.041
```



11.
DFT (PBE) results for ScMnCr2 after structural relaxation.

Calculated values
crystal system	cubic
calculated volume	52.5	Å³/f.u.
raw total energy	-8.3656	eV/atom
DOS(E_F)	5.126	states/eV/f.u.

Structure (POSCAR):
```
ScMnCr2
1.0
0.000 2.972 2.972
2.972 0.000 2.972
2.972 2.972 0.000
Sc Cr Mn
1 2 1
Cartesian
0.000 0.000 0.000
1.486 1.486 1.486
4.458 4.458 4.458
2.972 2.972 2.972
```



12.
DFT (PBE) results for ScMnCr3 after structural relaxation.

Calculated values
crystal system	cubic
calculated volume	79.2	Å³/f.u.
polymorph energy (0 for the lowest one)	0.00	kcal/mol of atoms
DOS(E_F)	7.962	states/eV/f.u.

Structure (POSCAR):
```
ScMnCr3
1.0
-0.797 3.228 -2.718
-4.197 -0.317 0.854
0.441 2.815 3.214
Sc Cr Mn
1 3 1
Cartesian
-2.276 2.863 0.675
-2.099 -0.158 0.427
0.221 1.407 1.607
-0.398 1.614 -1.359
0.000 0.000 0.000
```



Question: Look up the calculated volume of the third one.
Answer: 61.6 Å³/f.u.



Question: What is the DOS(E_F) in the eleventh record?
Answer: 5.126 states/eV/f.u.